# 1
PBE Tb3SmDyY, optimized geometry; V = 392.66 Å³ per cell; space group = C2/m, No. 12
1.0
9.405 -2.879 0.000
9.405 2.879 0.000
-0.043 0.000 7.250
Tb Sm Dy Y
6 2 2 2
Cartesian
0.407 0.000 1.782
5.331 0.000 1.816
6.201 0.000 5.462
12.566 0.000 1.789
13.437 0.000 5.435
18.360 0.000 5.469
8.602 0.000 1.803
10.165 0.000 5.448
2.745 0.000 6.972
16.023 0.000 0.278
2.755 0.000 3.880
16.013 0.000 3.370

# 2
PBE TbSmDyY3, optimized geometry; V = 387.33 Å³ per cell; space group = Cmcm, No. 63
1.0
2.525 -7.584 0.000
2.525 7.584 0.000
0.000 0.000 10.113
Tb Sm Dy Y
2 2 2 6
Cartesian
2.525 5.068 7.585
2.525 -5.068 2.528
0.000 0.000 0.000
0.000 0.000 5.057
2.525 0.008 2.528
2.525 -0.008 7.585
2.525 5.061 2.528
2.525 2.528 0.000
2.525 2.528 5.056
2.525 -2.528 10.113
2.525 -2.528 5.057
2.525 -5.061 7.585

# 3
PBE Tb6Sm3DyY2, optimized geometry; V = 388.80 Å³ per cell; space group = C2/m, No. 12
1.0
3.101 -5.367 0.000
3.101 5.367 0.000
-2.056 0.000 11.681
Tb Sm Dy Y
6 3 1 2
Cartesian
0.009 1.785 8.741
1.030 0.000 2.941
0.009 -1.785 8.741
4.136 1.785 2.941
3.116 0.000 8.741
4.136 -1.785 2.941
3.101 3.578 0.000
3.101 0.000 0.000
3.101 -3.578 0.000
-1.028 0.000 5.841
2.073 1.789 5.841
2.073 -1.789 5.841

# 4
PBE Tb2Sm3Dy6Y, optimized geometry; V = 385.56 Å³ per cell; space group = C2/m, No. 12
1.0
3.093 -5.354 0.000
3.093 5.354 0.000
-2.051 0.000 11.641
Tb Sm Dy Y
2 3 6 1
Cartesian
3.093 3.569 0.000
3.093 -3.569 0.000
-1.025 0.000 5.821
2.068 1.784 5.821
2.068 -1.784 5.821
0.006 1.788 8.750
1.031 0.000 2.892
0.006 -1.788 8.750
4.129 1.788 2.892
3.104 0.000 8.749
4.129 -1.788 2.892
3.093 0.000 0.000

# 5
PBE Tb2Sm3Dy6Zr, optimized geometry; V = 373.42 Å³ per cell; space group = C2/m, No. 12
1.0
3.063 -5.297 0.000
3.063 5.297 0.000
-2.027 0.000 11.509
Tb Sm Dy Zr
2 3 6 1
Cartesian
3.063 3.530 0.000
3.063 -3.530 0.000
-1.013 0.000 5.755
2.050 1.761 5.755
2.050 -1.761 5.755
0.030 1.730 8.710
1.070 0.000 2.795
0.030 -1.730 8.710
4.069 1.730 2.799
3.029 0.000 8.714
4.069 -1.730 2.799
3.063 0.000 0.000

# 6
PBE Tb3Sm2Dy6Zr, optimized geometry; V = 371.89 Å³ per cell; space group = C2/m, No. 12
1.0
3.058 -5.287 0.000
3.058 5.287 0.000
-2.017 0.000 11.501
Tb Sm Dy Zr
3 2 6 1
Cartesian
0.000 0.000 0.000
3.058 1.759 0.000
3.058 -1.759 0.000
2.049 3.523 5.751
2.049 -3.523 5.751
1.044 1.726 2.919
0.061 0.000 8.578
1.044 -1.726 2.919
3.054 1.726 8.582
4.038 0.000 2.923
3.054 -1.726 8.582
2.049 0.000 5.751

# 7
PBE Tb2Sm6Dy3Zr, optimized geometry; V = 380.11 Å³ per cell; space group = C2/m, No. 12
1.0
3.082 -5.330 0.000
3.082 5.330 0.000
-2.043 0.000 11.568
Tb Sm Dy Zr
2 6 3 1
Cartesian
3.082 3.552 0.000
3.082 -3.552 0.000
0.030 1.743 8.728
1.070 0.000 2.834
0.030 -1.743 8.728
4.092 1.743 2.840
3.052 0.000 8.734
4.092 -1.743 2.840
-1.021 0.000 5.784
2.061 1.773 5.784
2.061 -1.773 5.784
3.082 0.000 0.000

# 8
PBE Tb3Sm6Dy2Zr, optimized geometry; V = 380.53 Å³ per cell; space group = C2/m, No. 12
1.0
3.083 -5.331 0.000
3.083 5.331 0.000
-2.040 0.000 11.576
Tb Sm Dy Zr
3 6 2 1
Cartesian
0.000 0.000 0.000
3.083 1.773 0.000
3.083 -1.773 0.000
1.052 1.743 2.956
0.051 0.000 8.615
1.052 -1.743 2.956
3.074 1.743 8.620
4.075 0.000 2.961
3.074 -1.743 8.620
2.063 3.552 5.788
2.063 -3.552 5.788
2.063 0.000 5.788

The energy results, record by record, are as follows: -4.746; -5.537; -4.940; -4.776; -4.921; -4.910; -4.944; -4.947 eV per atom.
The formation enthalpy at 0 K results, record by record, are as follows: 0.200; 0.020; 0.015; 0.016; 0.044; 0.048; 0.050; 0.050 eV/atom.
The magnetic moment results, record by record, are as follows: 0.000; 0.000; 0.000; 0.000; 0.000; 0.000; 0.000; 0.000 μB per atom.